{"formula": "ReMoO3", "functional": "PBE+U", "state": "relaxed", "dft_energy_ry_per_atom": -0.5080, "space_group": "No. 221", "cell": [[4.0173, 0.0000, 0.0000], [0.0000, 4.0173, 0.0000], [0.0000, 0.0000, 4.0173]], "species": ["Re", "Mo", "O", "O", "O"], "fractional_positions": [[0.0000, 0.0000, 0.0000], [0.5000, 0.5000, 0.5000], [0.0000, 0.5000, 0.5000], [0.5000, 0.0000, 0.5000], [0.5000, 0.5000, 0.0000]]}